[1]
{
  "formula": "AgRuO3",
  "functional": "SCAN",
  "state": "single point on PBEsol structure",
  "lattice_angstrom": [[-0.982, 6.748, -1.850], [1.032, 2.015, -6.694], [-5.513, 1.790, -4.041]],
  "species": ["Ag", "Ag", "Ag", "Ag", "Ru", "Ru", "Ru", "Ru", "O", "O", "O", "O", "O", "O", "O", "O", "O", "O", "O", "O"],
  "fractional_positions": [[0.625, 0.625, 0.625], [0.125, 0.625, 0.625], [0.625, 0.625, 0.125], [0.625, 0.125, 0.625], [0.125, 0.625, 0.125], [0.625, 0.125, 0.125], [0.125, 0.125, 0.625], [0.125, 0.125, 0.125], [0.449, 0.051, 0.051], [0.801, 0.801, 0.199], [0.199, 0.801, 0.801], [0.051, 0.449, 0.051], [0.051, 0.051, 0.449], [0.449, 0.051, 0.449], [0.801, 0.199, 0.801], [0.199, 0.801, 0.199], [0.199, 0.199, 0.801], [0.051, 0.449, 0.449], [0.449, 0.449, 0.051], [0.801, 0.199, 0.199]],
  "dos_at_fermi_per_ev_cell": 4.191,
  "formation_energy_uncorrected_ev_per_atom": -0.75
}

[2]
{
  "formula": "Ag2S2O7",
  "functional": "SCAN",
  "state": "single point on PBEsol structure",
  "lattice_angstrom": [[6.840, 0.271, -0.003], [0.726, 6.658, -0.189], [0.525, 2.820, 6.191]],
  "species": ["Ag", "Ag", "Ag", "Ag", "S", "S", "S", "S", "O", "O", "O", "O", "O", "O", "O", "O", "O", "O", "O", "O", "O", "O"],
  "fractional_positions": [[0.099, 0.765, 0.233], [0.901, 0.235, 0.767], [0.623, 0.796, 0.585], [0.377, 0.204, 0.415], [0.121, 0.727, 0.723], [0.879, 0.273, 0.277], [0.387, 0.313, 0.866], [0.613, 0.687, 0.134], [0.972, 0.636, 0.653], [0.028, 0.364, 0.347], [0.260, 0.830, 0.547], [0.740, 0.170, 0.453], [0.044, 0.856, 0.848], [0.956, 0.144, 0.152], [0.247, 0.523, 0.903], [0.753, 0.477, 0.097], [0.409, 0.163, 0.086], [0.591, 0.837, 0.914], [0.271, 0.247, 0.738], [0.729, 0.753, 0.262], [0.567, 0.402, 0.755], [0.433, 0.598, 0.245]],
  "dos_at_fermi_per_ev_cell": 0.000,
  "formation_energy_uncorrected_ev_per_atom": -1.16
}

[3]
{
  "formula": "AgSO4",
  "functional": "SCAN",
  "state": "single point on PBEsol structure",
  "lattice_angstrom": [[-6.800, -1.698, -6.404], [6.823, -6.555, 0.858], [-2.514, -0.439, 9.151]],
  "species": ["Ag", "Ag", "Ag", "Ag", "Ag", "Ag", "Ag", "Ag", "S", "S", "S", "S", "S", "S", "S", "S", "O", "O", "O", "O", "O", "O", "O", "O", "O", "O", "O", "O", "O", "O", "O", "O", "O", "O", "O", "O", "O", "O", "O", "O", "O", "O", "O", "O", "O", "O", "O", "O"],
  "fractional_positions": [[0.500, 0.000, 0.000], [0.000, 0.000, 0.000], [0.000, 0.500, 0.500], [0.500, 0.500, 0.500], [0.500, 0.500, 0.000], [0.000, 0.000, 0.500], [0.000, 0.500, 0.000], [0.500, 0.000, 0.500], [0.560, 0.763, 0.298], [0.940, 0.702, 0.237], [0.440, 0.237, 0.702], [0.060, 0.298, 0.763], [0.451, 0.199, 0.250], [0.049, 0.750, 0.801], [0.549, 0.801, 0.750], [0.951, 0.250, 0.199], [0.281, 0.100, 0.703], [0.219, 0.297, 0.900], [0.719, 0.900, 0.297], [0.781, 0.703, 0.100], [0.068, 0.864, 0.380], [0.432, 0.620, 0.136], [0.932, 0.136, 0.620], [0.568, 0.380, 0.864], [0.062, 0.696, 0.183], [0.438, 0.817, 0.304], [0.938, 0.304, 0.817], [0.562, 0.183, 0.696], [0.856, 0.553, 0.284], [0.644, 0.716, 0.447], [0.144, 0.447, 0.716], [0.356, 0.284, 0.553], [0.905, 0.600, 0.808], [0.595, 0.192, 0.400], [0.095, 0.400, 0.192], [0.405, 0.808, 0.600], [0.017, 0.889, 0.810], [0.483, 0.190, 0.111], [0.983, 0.111, 0.190], [0.517, 0.810, 0.889], [0.026, 0.711, 0.635], [0.474, 0.365, 0.289], [0.974, 0.289, 0.365], [0.526, 0.635, 0.711], [0.237, 0.798, 0.944], [0.263, 0.056, 0.202], [0.763, 0.202, 0.056], [0.737, 0.944, 0.798]],
  "relative_energy_mev_per_atom": 0,
  "formation_energy_uncorrected_ev_per_atom": -1.10
}

[4]
{
  "formula": "AgSO4",
  "functional": "SCAN",
  "state": "single point on PBEsol structure",
  "lattice_angstrom": [[4.786, -0.315, 0.152], [1.946, 4.292, -0.096], [2.270, 0.157, 7.923]],
  "species": ["Ag", "Ag", "S", "S", "O", "O", "O", "O", "O", "O", "O", "O"],
  "fractional_positions": [[0.000, 0.000, 0.000], [0.500, 0.500, 0.500], [0.852, 0.584, 0.758], [0.148, 0.416, 0.242], [0.761, 0.760, 0.915], [0.055, 0.267, 0.773], [0.550, 0.600, 0.734], [0.022, 0.722, 0.606], [0.978, 0.278, 0.394], [0.450, 0.400, 0.266], [0.945, 0.733, 0.227], [0.239, 0.240, 0.085]],
  "relative_energy_mev_per_atom": 5,
  "formation_energy_uncorrected_ev_per_atom": -1.09
}